1.
# GGA-PBEsol NiHgPb2, optimized geometry
# - Crystal system: tetragonal
# - VASP energy: -13.256 eV/cell
# - Theoretical density: 12.593 g/cm³
# - Energy relative to the elements: 366.5 meV per atom
# - SG: I-4m2
data_NiHgPb2
_cell_length_a 4.3168
_cell_length_b 4.3168
_cell_length_c 5.6606
_cell_angle_alpha 112.41
_cell_angle_beta 112.41
_cell_angle_gamma 90.00
_symmetry_space_group_name_H-M 'P 1'
_symmetry_Int_Tables_number 1
_symmetry_space_group_name_Hall 'P 1'
loop_
_atom_site_label
_atom_site_type_symbol
_atom_site_fract_x
_atom_site_fract_y
_atom_site_fract_z
Pb1 Pb 0.7500 0.2500 0.5000
Ni1 Ni 0.2500 0.7500 0.5000
Pb2 Pb 0.0000 0.0000 0.0000
Hg1 Hg 0.5000 0.5000 0.0000

2.
# GGA-PBEsol BaLaAl2, optimized geometry
# - Crystal system: orthorhombic
# - VASP energy: -16.348 eV/cell
# - Energy relative to the lowest polymorph listed for this composition: 0.007 eV/atom
# - Theoretical density: 4.894 g/cm³
# - Energy relative to the elements: -167.4 meV per atom
# - SG: Pmm2
data_BaLaAl2
_cell_length_a 3.7660
_cell_length_b 4.9689
_cell_length_c 5.9874
_cell_angle_alpha 90.00
_cell_angle_beta 90.05
_cell_angle_gamma 90.00
_symmetry_space_group_name_H-M 'P 1'
_symmetry_Int_Tables_number 1
_symmetry_space_group_name_Hall 'P 1'
loop_
_atom_site_label
_atom_site_type_symbol
_atom_site_fract_x
_atom_site_fract_y
_atom_site_fract_z
Al1 Al 0.8753 0.5000 0.2475
Al2 Al 0.8748 0.0000 0.9782
Ba1 Ba 0.3755 0.0000 0.4546
La1 La 0.3744 0.5000 0.8197